# 1
Material: MnCoHg2
Method: DFT, PBE
State: optimized geometry

The structure in extended XYZ format:
```
4
Lattice="5.512 0.044 0.007 2.650 4.833 -0.007 -3.536 -3.350 2.579" Properties=species:S:1:pos:R:3 pbc="T T T"
Co 1.746 2.049 1.286
Hg 0.189 0.113 0.000
Hg 2.968 -0.470 1.293
Mn 3.804 2.273 0.000
```

The value obtained for the energy of formation from the pure elements is 0.362 eV per atom. The calculation puts the density of states at the Fermi level at 2.3 states/eV per cell. For the energy relative to the lowest polymorph listed for this composition, the calculation gives 0.091 eV/atom. For the total energy, the calculation gives -15.4 eV/f.u. The value obtained for the volume is 17.09 A^3/atom.

---

# 2
Material: MnCo2Hg
Method: DFT, PBE
State: optimized geometry

The structure in extended XYZ format:
```
8
Lattice="-1.313 3.914 -5.186 -5.761 -3.147 -0.916 -4.728 2.099 -1.455" Properties=species:S:1:pos:R:3 pbc="T T T"
Mn -3.537 0.384 -3.051
Mn -7.013 -0.332 -2.711
Co -2.661 2.395 -3.477
Co -5.008 -0.770 -1.827
Co -6.468 1.715 -3.422
Co -9.467 2.392 -6.388
Hg 0.000 0.000 0.000
Hg -4.789 3.198 -4.846
```

The value obtained for the energy of formation from the pure elements is 0.731 eV per atom. The calculation puts the density of states at the Fermi level at 9.7 states/eV per cell. For the total energy, the calculation gives -20.8 eV/f.u. The value obtained for the volume is 14.43 A^3/atom.

---

# 3
Material: MnCoHg2
Method: DFT, PBE
State: optimized geometry

The structure in extended XYZ format:
```
4
Lattice="-2.501 -0.507 -4.618 0.352 -1.674 -4.991 -1.798 -4.302 -0.299" Properties=species:S:1:pos:R:3 pbc="T T T"
Co -3.014 -4.923 -7.652
Hg -1.769 -4.169 -0.496
Hg -1.014 -1.721 -2.371
Mn -1.921 -3.213 -4.643
```

The value obtained for the energy of formation from the pure elements is 0.365 eV per atom. The calculation puts the density of states at the Fermi level at 2.9 states/eV per cell. For the energy relative to the lowest polymorph listed for this composition, the calculation gives 0.093 eV/atom. For the total energy, the calculation gives -15.4 eV/f.u. The value obtained for the volume is 17.18 A^3/atom.

---

# 4
Material: MnCoHg2
Method: DFT, PBE
State: optimized geometry

The structure in extended XYZ format:
```
4
Lattice="4.724 0.007 0.000 -1.056 4.604 0.000 0.000 0.000 3.118" Properties=species:S:1:pos:R:3 pbc="T T T"
Co -0.528 2.302 1.559
Hg 0.000 0.000 0.000
Hg 1.834 2.306 0.000
Mn 2.362 0.004 1.559
```

The value obtained for the energy of formation from the pure elements is 0.425 eV per atom. The calculation puts the density of states at the Fermi level at 3.6 states/eV per cell. For the energy relative to the lowest polymorph listed for this composition, the calculation gives 0.154 eV/atom. For the total energy, the calculation gives -15.2 eV/f.u. The value obtained for the volume is 16.96 A^3/atom.

---

# 5
Material: MnCo3Hg
Method: DFT, PBE
State: optimized geometry

The structure in extended XYZ format:
```
5
Lattice="-1.551 3.744 -1.132 -3.891 -1.351 0.861 0.403 1.364 3.960" Properties=species:S:1:pos:R:3 pbc="T T T"
Mn 0.000 0.000 0.000
Co -1.945 -0.675 0.431
Co 0.202 0.682 1.980
Co -0.775 1.872 -0.566
Hg -2.519 1.879 1.845
```

The value obtained for the energy of formation from the pure elements is 1.114 eV per atom. The calculation puts the density of states at the Fermi level at 7.5 states/eV per cell. For the energy relative to the lowest polymorph listed for this composition, the calculation gives 0.000 eV/atom. For the total energy, the calculation gives -25.2 eV/f.u. The value obtained for the volume is 14.90 A^3/atom.

---

# 6
Material: MnCoHg
Method: DFT, PBE
State: optimized geometry

The structure in extended XYZ format:
```
6
Lattice="-2.516 1.057 1.124 -1.492 -1.117 -2.289 -1.351 -9.048 5.295" Properties=species:S:1:pos:R:3 pbc="T T T"
Mn -0.513 -1.540 1.085
Mn -1.488 -8.201 4.971
Co -2.334 -0.406 -0.184
Co -3.327 -7.178 3.767
Hg -2.791 -3.330 1.540
Hg -1.074 -5.562 3.414
```

The value obtained for the energy of formation from the pure elements is 0.193 eV per atom. The calculation puts the density of states at the Fermi level at 3.2 states/eV per cell. For the energy relative to the lowest polymorph listed for this composition, the calculation gives 0.000 eV/atom. For the total energy, the calculation gives -16.0 eV/f.u. The value obtained for the volume is 15.35 A^3/atom.

---

# 7
Material: MnCo2Hg
Method: DFT, PBE
State: optimized geometry

The structure in extended XYZ format:
```
4
Lattice="8.440 -0.001 -0.001 7.975 2.765 -0.001 7.975 1.343 2.417" Properties=species:S:1:pos:R:3 pbc="T T T"
Co 0.267 0.045 0.026
Co 11.928 2.008 1.181
Hg 6.097 1.027 0.604
Mn 18.292 3.080 1.812
```

The value obtained for the energy of formation from the pure elements is 0.415 eV per atom. The calculation puts the density of states at the Fermi level at 4.4 states/eV per cell. For the total energy, the calculation gives -22.0 eV/f.u. The value obtained for the volume is 14.11 A^3/atom.

---

# 8
Material: Mn3CoHg
Method: DFT, PBE
State: optimized geometry

The structure in extended XYZ format:
```
5
Lattice="4.539 0.000 0.000 0.000 4.539 0.000 0.000 0.000 4.539" Properties=species:S:1:pos:R:3 pbc="T T T"
Mn 0.000 2.269 0.000
Mn 0.000 0.000 2.269
Mn 2.269 0.000 0.000
Co 0.000 0.000 0.000
Hg 2.269 2.269 2.269
```

The value obtained for the energy of formation from the pure elements is 0.775 eV per atom. The calculation puts the density of states at the Fermi level at 4.1 states/eV per cell. For the energy relative to the lowest polymorph listed for this composition, the calculation gives 0.000 eV/atom. For the total energy, the calculation gives -31.0 eV/f.u. The value obtained for the volume is 18.70 A^3/atom.

---

# 9
Material: MnCo2Hg
Method: DFT, PBE
State: optimized geometry

The structure in extended XYZ format:
```
4
Lattice="3.842 0.000 0.000 0.000 3.840 0.000 0.000 0.000 3.781" Properties=species:S:1:pos:R:3 pbc="T T T"
Co 0.000 0.000 0.000
Co 1.921 1.920 0.000
Hg 1.921 0.000 1.891
Mn 0.000 1.920 1.891
```

The value obtained for the energy of formation from the pure elements is 0.308 eV per atom. The calculation puts the density of states at the Fermi level at 3.8 states/eV per cell. For the total energy, the calculation gives -22.5 eV/f.u. The value obtained for the volume is 13.95 A^3/atom.

---

# 10
Material: MnCo2Hg
Method: DFT, PBE
State: optimized geometry

The structure in extended XYZ format:
```
4
Lattice="4.965 -0.010 -0.014 2.119 4.490 0.014 -3.103 -2.934 2.533" Properties=species:S:1:pos:R:3 pbc="T T T"
Co 0.105 0.066 0.000
Co 3.437 2.174 0.000
Hg 2.702 -0.352 1.259
Mn 1.279 1.898 1.273
```

The value obtained for the energy of formation from the pure elements is 0.378 eV per atom. The calculation puts the density of states at the Fermi level at 3.8 states/eV per cell. For the total energy, the calculation gives -22.2 eV/f.u. The value obtained for the volume is 14.15 A^3/atom.

---

# 11
Material: MnCoHg2
Method: DFT, PBE
State: optimized geometry

The structure in extended XYZ format:
```
4
Lattice="-2.297 -3.944 0.038 -3.853 -0.420 -2.410 -0.083 -2.628 -3.730" Properties=species:S:1:pos:R:3 pbc="T T T"
Mn 0.000 0.000 0.000
Co -3.117 -3.496 -3.052
Hg -1.558 -1.748 -1.526
Hg -4.675 -5.244 -4.577
```

The value obtained for the energy of formation from the pure elements is 0.413 eV per atom. The calculation puts the density of states at the Fermi level at 4.9 states/eV per cell. For the energy relative to the lowest polymorph listed for this composition, the calculation gives 0.142 eV/atom. For the total energy, the calculation gives -15.2 eV/f.u. The value obtained for the volume is 16.81 A^3/atom.

---

# 12
Material: MnCoHg2
Method: DFT, PBE
State: optimized geometry

The structure in extended XYZ format:
```
4
Lattice="5.086 -0.025 0.000 1.961 4.693 0.000 -3.523 -2.334 2.830" Properties=species:S:1:pos:R:3 pbc="T T T"
Co 2.543 -0.012 1.415
Hg 0.000 0.000 0.000
Hg 0.980 2.347 1.415
Mn 3.523 2.334 0.000
```

The value obtained for the energy of formation from the pure elements is 0.420 eV per atom. The calculation puts the density of states at the Fermi level at 3.2 states/eV per cell. For the energy relative to the lowest polymorph listed for this composition, the calculation gives 0.149 eV/atom. For the total energy, the calculation gives -15.2 eV/f.u. The value obtained for the volume is 16.92 A^3/atom.

---

# 13
Material: MnCoHg2
Method: DFT, PBE
State: optimized geometry

The structure in extended XYZ format:
```
4
Lattice="3.119 0.000 0.000 0.000 3.067 -0.045 0.000 3.242 7.147" Properties=species:S:1:pos:R:3 pbc="T T T"
Co 1.560 4.719 5.051
Hg 0.000 3.213 6.828
Hg 1.560 1.607 2.033
Mn 0.000 3.167 3.888
```

The value obtained for the energy of formation from the pure elements is 0.271 eV per atom. The calculation puts the density of states at the Fermi level at 2.1 states/eV per cell. For the energy relative to the lowest polymorph listed for this composition, the calculation gives 0.000 eV/atom. For the total energy, the calculation gives -15.8 eV/f.u. The value obtained for the volume is 17.21 A^3/atom.

---

# 14
Material: MnCoHg2
Method: DFT, PBE
State: optimized geometry

The structure in extended XYZ format:
```
4
Lattice="9.400 0.072 0.043 8.894 3.043 0.043 8.894 1.514 2.639" Properties=species:S:1:pos:R:3 pbc="T T T"
Co 20.650 3.516 2.069
Hg 0.345 0.059 0.035
Hg 6.529 1.112 0.654
Mn 13.258 2.257 1.328
```

The value obtained for the energy of formation from the pure elements is 0.355 eV per atom. The calculation puts the density of states at the Fermi level at 1.7 states/eV per cell. For the energy relative to the lowest polymorph listed for this composition, the calculation gives 0.083 eV/atom. For the total energy, the calculation gives -15.5 eV/f.u. The value obtained for the volume is 18.16 A^3/atom.

---

# 15
Material: MnCoHg
Method: DFT, PBE
State: optimized geometry

The structure in extended XYZ format:
```
6
Lattice="-1.991 0.630 2.129 1.919 -0.878 2.055 4.851 9.655 -0.405" Properties=species:S:1:pos:R:3 pbc="T T T"
Mn 0.370 1.876 0.455
Mn 4.230 8.974 -0.117
Co -0.181 0.430 2.463
Co 3.751 7.707 1.900
Hg 1.091 3.694 2.670
Hg 1.124 6.730 1.825
```

The value obtained for the energy of formation from the pure elements is 0.235 eV per atom. The calculation puts the density of states at the Fermi level at 5.9 states/eV per cell. For the energy relative to the lowest polymorph listed for this composition, the calculation gives 0.041 eV/atom. For the total energy, the calculation gives -15.9 eV/f.u. The value obtained for the volume is 15.68 A^3/atom.